Version P
Compound: BaCSeN2
Source: Alexandria via LeMat-Bulk
Functional: GGA-PBE
Structure: relaxed

Cell: 5.093 5.093 6.453 Å, 90.00 90.00 90.00°
Element x y z (fractional)
1 C 0.500 0.500 0.500
2 Ba 0.000 0.000 0.000
3 Se 0.000 0.000 0.500
4 N 0.000 0.500 0.000
5 N 0.500 0.000 0.000



Version Q
Compound: BaCSeN2
Source: Alexandria via LeMat-Bulk
Functional: GGA-PBE
Structure: relaxed

Cell: 4.381 4.381 4.257 Å, 90.00 90.00 90.00°
Element x y z (fractional)
1 C 0.000 0.000 0.000
2 Ba 0.500 0.500 0.500
3 Se 0.000 0.000 0.500
4 N 0.000 0.500 0.000
5 N 0.500 0.000 0.000



Quick look at relative energies in kJ/mol of atoms: version P 111.1; version Q 0.0.